Record 1
A relaxed LiLa2As4Pt3 crystal, computed with PBE.

Lattice parameters (Å, degrees): 4.4619 4.4619 10.0647 90.00 90.00 90.00
Last column: nearest neighbours and their distance in Å.
Space group P-4m2 (No. 115)
Unique sites:
Li  0.0000  0.0000  0.0000  4 As 2.60
La  0.0000  0.5000  0.7489  8 As 3.35-3.37, 7 Pt 3.37-3.69, 2 Li 3.37
As  0.0000  0.0000  0.5000  4 Pt 2.53
As  0.0000  0.5000  0.1320  3 Pt 2.52-2.60, 2 Li 2.60
As  0.5000  0.5000  0.5000  4 Pt 2.53
Pt  0.0000  0.5000  0.3825  5 As 2.52-2.53
Pt  0.5000  0.5000  0.0000  4 As 2.60

The volume is 20.04 Å³/atom. As for the formation energy from the elements: -1.00 eV/atom. As for the total magnetization: 0.00 μB/f.u.

***

Record 2
A relaxed LiLa2As3Pt4 crystal, computed with PBE.

Lattice parameters (Å, degrees): 4.3815 4.3815 10.1872 90.00 90.00 90.00
Last column: nearest neighbours and their distance in Å.
Space group P-4m2 (No. 115)
Unique sites:
Li  0.0000  0.0000  0.0000  4 Pt 2.52
La  0.0000  0.5000  0.7445  6 As 3.29-3.40, 8 Pt 3.32-3.38, 2 Li 3.40
As  0.0000  0.5000  0.3648  5 Pt 2.48-2.59
As  0.5000  0.5000  0.0000  4 Pt 2.52
Pt  0.0000  0.0000  0.5000  4 As 2.59
Pt  0.0000  0.5000  0.1218  3 As 2.48-2.52, 2 Li 2.52
Pt  0.5000  0.5000  0.5000  4 As 2.59

The volume is 19.56 Å³/atom. As for the formation energy from the elements: -0.97 eV/atom. As for the total magnetization: 0.00 μB/f.u.

***

Record 3
A relaxed LiLaAs2Rh crystal, computed with PBE.

Lattice parameters (Å, degrees): 4.2042 4.2042 10.6541 90.00 90.00 90.00
Last column: nearest neighbours and their distance in Å.
Space group I-4m2 (No. 119)
Unique sites:
Li  0.0000  0.0000  0.0000  4 As 2.50
La  0.0000  0.5000  0.2500  8 As 3.25, 4 Li 3.39, 4 Rh 3.39
As  0.0000  0.5000  0.6272  2 Li 2.50, 2 Rh 2.50, 1 As 2.62
Rh  0.0000  0.0000  0.5000  4 As 2.50

The volume is 18.83 Å³/atom. As for the formation energy from the elements: -0.99 eV/atom. As for the total magnetization: 0.00 μB/f.u.

***

Record 4
A relaxed LiLa2As3Rh4 crystal, computed with PBE.

Lattice parameters (Å, degrees): 4.1909 4.1909 10.4614 90.00 90.00 90.00
Last column: nearest neighbours and their distance in Å.
Space group P-4m2 (No. 115)
Unique sites:
Li  0.0000  0.0000  0.0000  4 Rh 2.51
La  0.0000  0.5000  0.7564  8 Rh 3.18-3.40, 6 As 3.22-3.30, 2 Li 3.30
As  0.0000  0.5000  0.3648  5 Rh 2.43-2.53
As  0.5000  0.5000  0.0000  4 Rh 2.51
Rh  0.0000  0.0000  0.5000  4 As 2.53
Rh  0.0000  0.5000  0.1325  3 As 2.43-2.51, 2 Li 2.51
Rh  0.5000  0.5000  0.5000  4 As 2.53

The volume is 18.37 Å³/atom. As for the formation energy from the elements: -0.95 eV/atom. As for the total magnetization: 0.00 μB/f.u.

***

Record 5
A relaxed LiLaAsS2 crystal, computed with PBE.

Lattice parameters (Å, degrees): 5.5461 5.5461 5.9738 90.00 90.00 90.00
Last column: nearest neighbours and their distance in Å.
Space group P4/mmm (No. 123)
Unique sites:
Li  0.0000  0.0000  0.0000  4 As 3.92, 8 S 4.08
La  0.5000  0.5000  0.5000  4 S 2.77, 2 As 2.99
As  0.5000  0.5000  0.0000  2 La 2.99
S  0.0000  0.5000  0.5000  2 La 2.77

The volume is 36.75 Å³/atom. As for the total magnetization: 2.54 μB/f.u. For the energy, the calculation gives -4.26 eV/atom.

***

Record 6
A relaxed Li2LaAsS crystal, computed with PBE.

Lattice parameters (Å, degrees): 6.1611 6.1611 5.0818 90.00 90.00 90.00
Last column: nearest neighbours and their distance in Å.
Space group P4/mmm (No. 123)
Unique sites:
Li  0.0000  0.5000  0.0000  2 La 3.08
La  0.0000  0.0000  0.0000  2 S 2.54
As  0.5000  0.5000  0.5000  8 Li 3.99, 4 S 4.36
S  0.0000  0.0000  0.5000  2 La 2.54

The volume is 38.58 Å³/atom. As for the total magnetization: 0.00 μB/f.u. For the energy, the calculation gives -3.02 eV/atom.